[1]
An optimized crystal structure of PrSc3O, computed with PBE.

The calculation puts the total magnetization at 0.000 μB per atom. The calculation puts the uncorrected formation energy at -22.76 kcal/mol of atoms.

Cell: 4.6745 4.6745 4.6745 Å, 90.00 90.00 90.00°
Last column: nearest neighbours and their distance in Å.
Space group Pm-3m (No. 221)
Symmetry-distinct sites (fractional):
Pr: 0.0000 0.0000 0.0000  12 Sc 3.31
Sc: 0.0000 0.5000 0.5000  2 O 2.34
O: 0.5000 0.5000 0.5000  6 Sc 2.34



[2]
An optimized crystal structure of PrSc2O, computed with PBE.

The calculation puts the relative energy among the computed polymorphs at 494 meV per atom. The calculation puts the total magnetization at 0.337 μB per atom. The calculation puts the uncorrected formation energy at -18.19 kcal/mol of atoms.

Cell: 3.0214 3.0214 8.5929 Å, 90.00 90.00 90.00°
Last column: nearest neighbours and their distance in Å.
Space group P4/mmm (No. 123)
Symmetry-distinct sites (fractional):
Pr: 0.0000 0.0000 0.0000  4 Pr 3.02
Sc: 0.5000 0.5000 0.3361  4 O 2.56, 1 Sc 2.82
O: 0.0000 0.0000 0.5000  8 Sc 2.56



[3]
An optimized crystal structure of Pr2ScSe2O2, computed with PBE.

The calculation puts the total magnetization at 0.000 μB per atom. The calculation puts the uncorrected formation energy at -57.87 kcal/mol of atoms.

Cell: 4.1645 4.1645 15.5289 Å, 90.00 90.00 90.00°
Last column: nearest neighbours and their distance in Å.
Space group I4/mmm (No. 139)
Symmetry-distinct sites (fractional):
Pr: 0.0000 0.0000 0.1226  4 O 2.82, 5 Se 3.06-3.11
Sc: 0.0000 0.0000 0.5000  4 O 2.08
Se: 0.0000 0.0000 0.3230  1 Sc 2.75, 4 Pr 3.06
O: 0.0000 0.5000 0.0000  2 Sc 2.08



[4]
An optimized crystal structure of PrScSe2O, computed with PBE.

The calculation puts the total magnetization at 0.000 μB per atom. The calculation puts the uncorrected formation energy at -52.56 kcal/mol of atoms.

Cell: 3.9866 3.9866 14.0576 Å, 90.00 90.00 90.00°
Last column: nearest neighbours and their distance in Å.
Space group P4/nmm (No. 129, origin choice 2)
Symmetry-distinct sites (fractional):
Pr: 0.2500 0.2500 0.0887  4 O 2.35
Sc: 0.2500 0.2500 0.6139  1 Se 2.48
Se: 0.2500 0.2500 0.4111  5 Sc 2.84-2.85
Se: 0.2500 0.2500 0.7904  1 Sc 2.48
O: 0.2500 0.7500 0.0000  4 Pr 2.35



[5]
An optimized crystal structure of Pr2Sc2Si2O, computed with PBE.

The calculation puts the total magnetization at 0.138 μB per atom. The calculation puts the uncorrected formation energy at -32.41 kcal/mol of atoms.

Cell: 4.3048 4.3048 15.8980 Å, 90.00 90.00 90.00°
Last column: nearest neighbours and their distance in Å.
Space group I4/mmm (No. 139)
Symmetry-distinct sites (fractional):
Pr: 0.0000 0.0000 0.1735  1 O 2.76
Sc: 0.0000 0.5000 0.0000  2 O 2.15
Si: 0.0000 0.0000 0.3757  4 Sc 2.92, 5 Pr 3.14-3.22
O: 0.0000 0.0000 0.0000  4 Sc 2.15



[6]
An optimized crystal structure of Pr2SmScO6, computed with PBE.

The calculation puts the total magnetization at 0.000 μB per atom. The calculation puts the uncorrected formation energy at -77.50 kcal/mol of atoms.

Cell: 5.7864 6.0368 10.1963 Å, 90.00 123.92 90.00°
Last column: nearest neighbours and their distance in Å.
Space group P2_1/c (No. 14)
Symmetry-distinct sites (fractional):
Pr: 0.2307 0.0543 0.2511  4 O 2.36-2.49
Sm: 0.5000 0.0000 0.0000  6 O 2.31-2.36
Sc: 0.0000 0.0000 0.5000  6 O 2.11-2.19
O: 0.1099 0.2073 0.9267  1 Sc 2.15, 1 Sm 2.31, 1 Pr 2.38
O: 0.2254 0.6872 0.9331  1 Sc 2.11, 1 Sm 2.31
O: 0.3686 0.0593 0.7379  1 Sc 2.19, 1 Pr 2.36, 1 Sm 2.36



[7]
An optimized crystal structure of Pr2Sc4Sn3O2, computed with PBE.

The calculation puts the total magnetization at 0.005 μB per atom. The calculation puts the uncorrected formation energy at -35.53 kcal/mol of atoms.

Cell: 4.4465 4.4465 24.8862 Å, 90.00 90.00 90.00°
Last column: nearest neighbours and their distance in Å.
Space group I4/mmm (No. 139)
Symmetry-distinct sites (fractional):
Pr: 0.0000 0.0000 0.1937  1 O 2.63
Sc: 0.0000 0.5000 0.0800  2 O 2.23
Sn: 0.0000 0.0000 0.3307  4 Sc 3.14, 5 Pr 3.20-3.41
Sn: 0.0000 0.0000 0.5000  8 Sc 2.98
O: 0.0000 0.0000 0.0880  4 Sc 2.23



[8]
An optimized crystal structure of SrPrScO4, computed with PBE.

The calculation puts the relative energy among the computed polymorphs at 19 meV per atom. The calculation puts the total magnetization at 0.000 μB per atom. The calculation puts the uncorrected formation energy at -73.71 kcal/mol of atoms.

Cell: 4.0425 4.0425 12.6269 Å, 90.00 90.00 90.00°
Last column: nearest neighbours and their distance in Å.
Space group I4mm (No. 107)
Symmetry-distinct sites (fractional):
Sr: 0.0000 0.0000 0.0000  1 O 2.33
Pr: 0.0000 0.0000 0.7145  5 O 2.34-2.59
Sc: 0.0000 0.0000 0.3582  6 O 2.03-2.19
O: 0.0000 0.0000 0.1845  1 Sc 2.19, 1 Sr 2.33
O: 0.0000 0.0000 0.5294  1 Sc 2.16, 1 Pr 2.34
O: 0.0000 0.5000 0.3433  2 Sc 2.03



[9]
An optimized crystal structure of SrPrScO4, computed with PBE.

The calculation puts the relative energy among the computed polymorphs at 0 meV per atom. The calculation puts the total magnetization at 0.000 μB per atom. The calculation puts the uncorrected formation energy at -74.15 kcal/mol of atoms.

Cell: 5.7076 12.4338 5.8940 Å, 90.00 90.00 90.00°
Last column: nearest neighbours and their distance in Å.
Space group Cmc2_1 (No. 36)
Symmetry-distinct sites (fractional):
Sr: 0.0000 0.1043 0.0000  4 O 2.38-2.64
Pr: 0.0000 0.3921 0.9726  4 O 2.30-2.52
Sc: 0.0000 0.2461 0.4828  5 O 2.05-2.08
O: 0.0000 0.0836 0.4209  1 Sc 2.05
O: 0.0000 0.4294 0.5769  2 Pr 2.30-2.38, 1 Sc 2.35
O: 0.2443 0.2739 0.2281  2 Sc 2.07-2.08



[10]
An optimized crystal structure of PrScTeO6, computed with PBE.

The calculation puts the total magnetization at 0.000 μB per atom. The calculation puts the uncorrected formation energy at -56.54 kcal/mol of atoms.

Cell: 5.3883 5.3883 10.1783 Å, 90.00 90.00 120.00°
Last column: nearest neighbours and their distance in Å.
Space group P-31c (No. 163)
Symmetry-distinct sites (fractional):
Pr: 0.0000 0.0000 0.0000  6 O 2.45
Sc: 0.3333 0.6667 0.2500  6 O 2.12
Te: 0.3333 0.6667 0.7500  6 O 1.95
O: 0.0237 0.3775 0.6420  1 Te 1.95, 1 Sc 2.12



[11]
An optimized crystal structure of PrSc2TeO8, computed with PBE.

The calculation puts the total magnetization at 0.037 μB per atom. The calculation puts the uncorrected formation energy at -55.90 kcal/mol of atoms.

Cell: 6.8126 6.8236 6.8967 Å, 90.00 90.00 90.00°
Last column: nearest neighbours and their distance in Å.
Space group Cmmm (No. 65)
Symmetry-distinct sites (fractional):
Pr: 0.0000 0.0000 0.0000  6 O 2.29-2.41
Sc: 0.0000 0.5000 0.2669  6 O 2.10-2.16
Te: 0.0000 0.0000 0.5000  6 O 1.94-1.97
O: 0.0000 0.1932 0.2928  1 Te 1.94, 1 Sc 2.10
O: 0.1640 0.5000 0.0000  2 Sc 2.15, 1 O 2.23, 1 Pr 2.29
O: 0.2110 0.5000 0.5000  1 Te 1.97, 2 Sc 2.16



[12]
An optimized crystal structure of Pr2ScTiO6, computed with PBE.

The calculation puts the total magnetization at 0.101 μB per atom. The calculation puts the uncorrected formation energy at -75.64 kcal/mol of atoms.

Cell: 5.6065 5.7912 9.7098 Å, 90.00 124.73 90.00°
Last column: nearest neighbours and their distance in Å.
Space group P2_1/c (No. 14)
Symmetry-distinct sites (fractional):
Pr: 0.2346 0.0588 0.2486  6 O 2.39-2.65
Sc: 0.5000 0.0000 0.0000  6 O 2.11-2.13
Ti: 0.0000 0.0000 0.5000  6 O 2.04-2.08
O: 0.1455 0.2053 0.9470  1 Ti 2.08, 1 Sc 2.11
O: 0.2464 0.6986 0.9509  1 Ti 2.05, 1 Sc 2.13
O: 0.3426 0.0278 0.7448  1 Ti 2.04, 1 Sc 2.11



[13]
An optimized crystal structure of PrScTl2O6, computed with PBE.

The calculation puts the total magnetization at 0.000 μB per atom. The calculation puts the uncorrected formation energy at -45.81 kcal/mol of atoms.

Cell: 5.8023 5.8023 15.3113 Å, 90.00 90.00 120.00°
Last column: nearest neighbours and their distance in Å.
Space group R3 (No. 146, hexagonal axes)
Symmetry-distinct sites (fractional):
Pr: 0.0000 0.0000 0.0000  6 O 2.34-2.51
Sc: 0.0000 0.0000 0.4887  6 O 2.14-2.18
Tl: 0.0000 0.0000 0.2719  6 O 2.25-2.46
Tl: 0.0000 0.0000 0.7791  6 O 2.22-2.44
O: 0.0101 0.7269 0.3931  1 Sc 2.18, 1 Tl 2.22, 1 Pr 2.34
O: 0.0344 0.3439 0.5528  1 Sc 2.14, 1 Tl 2.25